Material: Na3Nd2SmTe6
Method: DFT, PBE-GGA
State: relaxed

For the volume, the calculation gives 33.71 Å³ per atom. The calculation puts the energy at -106.006 eV/cell. The value obtained for the size of the total moment is 0.000 μB/atom.

Unit cell a=7.8551 b=13.6068 c=8.0093 alpha=90.00 beta=109.09 gamma=90.00
Space group C2/m (No. 12)
Symmetry-distinct sites (fractional):
Na (0.0000, 0.0000, 0.0000) (multiplicity 2)
Na (0.0000, 0.3324, 0.0000) (multiplicity 4)
Nd (0.0000, 0.1665, 0.5000) (multiplicity 4)
Sm (0.0000, 0.5000, 0.5000) (multiplicity 2)
Te (0.2448, 0.3347, 0.7384) (multiplicity 8)
Te (0.2490, 0.0000, 0.7385) (multiplicity 4)